No. 1
This record from Alexandria via LeMat-Bulk describes a relaxed TcBr crystal. The functional is GGA-PBE.

Cell lengths 11.1333, 11.1333, 3.5877 Å; angles 90.00, 90.00, 90.00 degrees
Closest atoms and distances in Å follow each position.
Space group I4/m (No. 87)
Asymmetric unit:
Tc (0.1981, 0.7132, 0.0000) (multiplicity 8)  2 Tc 2.29, 1 Br 2.54
Br (0.0078, 0.7534, 0.5000) (multiplicity 8)  3 Tc 2.54-2.81

Values from the calculation:
Energy above the most stable polymorph in this dataset = 0.316 eV per atom
Volume = 27.79 A^3/atom
Total energy = -90.564 eV per cell
Formation energy from raw total energies = 34.7 kJ per mole of atoms

***

No. 2
This record from Alexandria via LeMat-Bulk describes a relaxed TeIrI2 crystal. The functional is GGA-PBE.

Cell lengths 7.3827, 7.3827, 7.3827 Å; angles 90.00, 90.00, 90.00 degrees
Closest atoms and distances in Å follow each position.
Space group Fm-3m (No. 225)
Asymmetric unit:
Te (0.0000, 0.0000, 0.0000) (multiplicity 4)  8 I 3.20
Ir (0.0000, 0.0000, 0.5000) (multiplicity 4)  8 I 3.20
I (0.2500, 0.2500, 0.2500) (multiplicity 8)  4 Te 3.20, 4 Ir 3.20

Values from the calculation:
Volume = 25.15 A^3/atom
Total energy = -41.280 eV per cell
Formation energy from raw total energies = 115.4 kJ per mole of atoms

***

No. 3
This record from Alexandria via LeMat-Bulk describes a relaxed CuSnC2 crystal. The functional is GGA-PBE.

Cell lengths 4.5532, 4.5532, 10.5997 Å; angles 90.00, 90.00, 90.00 degrees
Closest atoms and distances in Å follow each position.
Space group I-42d (No. 122)
Asymmetric unit:
Cu (0.0000, 0.0000, 0.0000) (multiplicity 4)  4 C 1.98
Sn (0.0000, 0.0000, 0.5000) (multiplicity 4)  4 C 2.21
C (0.2035, 0.2500, 0.1250) (multiplicity 8)  2 Cu 1.98, 2 Sn 2.21

Values from the calculation:
Energy above the most stable polymorph in this dataset = 0.000 eV per atom
Volume = 13.73 A^3/atom
Total energy = -83.912 eV per cell
Calculated formation energy = 1.39 eV/atom

***

No. 4
This record from Alexandria via LeMat-Bulk describes a relaxed Mg3Cd2Hg2 crystal. The functional is GGA-PBE.

Cell lengths 3.3101, 26.2647, 3.6439 Å; angles 90.00, 90.00, 90.00 degrees
Closest atoms and distances in Å follow each position.
Space group Cmmm (No. 65)
Asymmetric unit:
Mg (0.0000, 0.0000, 0.0000) (multiplicity 2)  8 Hg 3.03, 2 Mg 3.31
Mg (0.0000, 0.1324, 0.0000) (multiplicity 4)  4 Hg 3.00, 4 Cd 3.08, 2 Mg 3.31
Cd (0.0000, 0.2970, 0.5000) (multiplicity 4)  4 Cd 2.97-3.31, 4 Mg 3.08
Hg (0.0000, 0.4326, 0.5000) (multiplicity 4)  8 Mg 3.00-3.03, 2 Hg 3.31

Values from the calculation:
Energy above the most stable polymorph in this dataset = 0.000 eV per atom
Volume = 22.63 A^3/atom
Total energy = -16.271 eV per cell
Calculated formation energy = -0.13 eV/atom

***

No. 5
This record from Alexandria via LeMat-Bulk describes a relaxed Ba8InPd2Rh crystal. The functional is GGA-PBE.

Cell lengths 7.5717, 9.8542, 7.6961 Å; angles 90.00, 91.16, 90.00 degrees
Closest atoms and distances in Å follow each position.
Space group P2/m (No. 10)
Asymmetric unit:
Ba (0.2120, 0.0000, 0.3454) (multiplicity 2)  2 Pd 3.23, 1 In 3.47
Ba (0.2334, 0.5000, 0.3194) (multiplicity 2)  1 Rh 3.21, 2 Pd 3.30
Ba (0.2731, 0.2773, 0.8264) (multiplicity 4)  1 Rh 3.08, 1 Pd 3.23
In (0.5000, 0.0000, 0.0000) (multiplicity 1)  6 Ba 3.47-3.48
Pd (0.0000, 0.2565, 0.5000) (multiplicity 2)  6 Ba 3.23-3.30
Rh (0.5000, 0.5000, 0.0000) (multiplicity 1)  6 Ba 3.08-3.21

Values from the calculation:
Volume = 47.84 A^3/atom
Total energy = -39.308 eV per cell
Calculated formation energy = -0.29 eV/atom

***

No. 6
This record from Alexandria via LeMat-Bulk describes a relaxed CeCuTcGe2 crystal. The functional is GGA-PBE.

Cell lengths 4.0896, 4.0896, 10.8805 Å; angles 90.00, 90.00, 90.00 degrees
Closest atoms and distances in Å follow each position.
Space group I-4m2 (No. 119)
Asymmetric unit:
Ce (0.0000, 0.0000, 0.0000) (multiplicity 2)  8 Ge 3.18, 4 Tc 3.40, 4 Cu 3.40
Cu (0.0000, 0.5000, 0.7500) (multiplicity 2)  4 Ge 2.48
Tc (0.0000, 0.5000, 0.2500) (multiplicity 2)  4 Ge 2.48
Ge (0.0000, 0.0000, 0.3787) (multiplicity 4)  2 Tc 2.48, 2 Cu 2.48, 1 Ge 2.64

Values from the calculation:
Volume = 18.20 A^3/atom
Total energy = -63.089 eV per cell
Calculated formation energy = -0.38 eV/atom

***

No. 7
This record from Alexandria via LeMat-Bulk describes a relaxed Be2AlSn crystal. The functional is GGA-PBE.

Cell lengths 6.2447, 6.2447, 6.2447 Å; angles 90.00, 90.00, 90.00 degrees
Closest atoms and distances in Å follow each position.
Space group Fm-3m (No. 225)
Asymmetric unit:
Be (0.2500, 0.2500, 0.2500) (multiplicity 8)  4 Sn 2.70, 4 Al 2.70
Al (0.0000, 0.0000, 0.0000) (multiplicity 4)  8 Be 2.70
Sn (0.0000, 0.0000, 0.5000) (multiplicity 4)  8 Be 2.70

Values from the calculation:
Energy above the most stable polymorph in this dataset = 0.000 eV per atom
Volume = 15.22 A^3/atom
Total energy = -51.769 eV per cell
Calculated formation energy = 0.56 eV/atom